Below is a relaxed Al2Ni2Sn crystal, with properties calculated at the PBE level.

```
5
Lattice="-1.856 1.856 5.679 1.856 -1.856 5.679 1.856 1.856 -5.679" Properties=species:S:1:pos:R:3 pbc="T T T"
Al 1.856 0.000 2.840
Al 0.000 1.856 2.840
Ni 0.000 0.000 1.249
Ni 0.000 0.000 10.109
Sn 0.000 0.000 5.679
```

Results
- space-group type = I4/mmm (139)
- formation energy from the elements (meV per atom) = -243
- E (eV/atom) = -4.85

---

Below is a relaxed LiPt2Cl crystal, with properties calculated at the PBE level.

```
4
Lattice="3.629 0.000 0.000 0.000 3.623 0.000 -0.006 0.000 5.399" Properties=species:S:1:pos:R:3 pbc="T T T"
Li 0.000 0.000 0.000
Pt 1.807 1.812 2.244
Pt 3.622 0.000 2.657
Cl 1.807 1.812 5.073
```

Results
- energy above the most stable polymorph in this dataset (eV/atom) = 0.026
- space-group type = Pm (6)
- E_form (uncorrected) (eV per atom) = -0.308
- E (eV/atom) = -4.27

---

Below is a relaxed Pd2Pb2Cl crystal, with properties calculated at the PBE level.

```
5
Lattice="-2.438 2.438 5.388 2.438 -2.438 5.388 2.438 2.438 -5.388" Properties=species:S:1:pos:R:3 pbc="T T T"
Pd 0.000 0.000 1.310
Pd 0.000 0.000 9.465
Pb 2.438 0.000 2.694
Pb 0.000 2.438 2.694
Cl 0.000 0.000 5.388
```

Results
- energy above the most stable polymorph in this dataset (eV/atom) = 0.167
- space-group type = I4/mmm (139)
- E_form (uncorrected) (eV per atom) = -0.103
- E (eV/atom) = -4.03

---

Below is a relaxed Na3Sb2Pt3 crystal, with properties calculated at the PBE level.

```
16
Lattice="2.295 -5.398 0.000 2.295 5.398 0.000 0.000 0.000 14.863" Properties=species:S:1:pos:R:3 pbc="T T T"
Na 2.295 4.516 9.210
Na 2.295 4.516 13.084
Na 2.295 1.234 11.147
Na 2.295 -1.234 3.716
Na 2.295 -4.516 1.779
Na 2.295 -4.516 5.653
Sb 2.295 3.115 1.359
Sb 2.295 3.115 6.072
Sb 2.295 -3.115 8.791
Sb 2.295 -3.115 13.503
Pt 2.295 2.060 3.716
Pt 2.295 1.242 7.975
Pt 2.295 1.242 14.319
Pt 2.295 -1.242 0.544
Pt 2.295 -1.242 6.887
Pt 2.295 -2.060 11.147
```

Results
- space-group type = Cmcm (63)
- E_form (uncorrected) (eV per atom) = -0.403
- E (eV/atom) = -4.19

---

Below is a relaxed Si3Os5 crystal, with properties calculated at the PBE level.

```
16
Lattice="6.889 0.000 0.000 -3.444 5.966 0.000 0.000 0.000 5.351" Properties=species:S:1:pos:R:3 pbc="T T T"
Si -1.378 2.387 1.338
Si -2.066 3.578 4.014
Si 2.757 0.000 1.338
Si 1.378 2.387 4.014
Si 4.132 0.000 4.014
Si 2.066 3.578 1.338
Os -0.847 1.468 4.014
Os -2.597 4.498 1.338
Os 1.695 0.000 4.014
Os 0.847 1.468 1.338
Os 0.000 3.977 0.000
Os 0.000 3.977 2.676
Os 3.444 1.989 0.000
Os 3.444 1.989 2.676
Os 5.194 0.000 1.338
Os 2.597 4.498 4.014
```

Results
- energy above the most stable polymorph in this dataset (eV/atom) = 0.063
- space-group type = P6_3/mcm (193)
- E_form (uncorrected) (eV per atom) = 0.021
- E (eV/atom) = -9.03

---

Below is a relaxed ZrHg2 crystal, with properties calculated at the PBE level.

```
12
Lattice="6.919 0.000 0.000 0.000 6.919 0.000 0.000 0.000 6.919" Properties=species:S:1:pos:R:3 pbc="T T T"
Zr 0.000 0.000 0.000
Zr 0.000 3.459 3.459
Zr 3.459 0.000 3.459
Zr 3.459 3.459 0.000
Hg 0.872 4.331 6.047
Hg 0.872 6.047 2.588
Hg 2.588 0.872 6.047
Hg 2.588 2.588 2.588
Hg 4.331 4.331 4.331
Hg 4.331 6.047 0.872
Hg 6.047 0.872 4.331
Hg 6.047 2.588 0.872
```

Results
- space-group type = Pa-3 (205)
- formation energy from the elements (meV per atom) = 441
- E (eV/atom) = -2.61

---

Below is a relaxed Li2Ca2Pd3 crystal, with properties calculated at the PBE level.

```
7
Lattice="5.058 -2.065 0.000 5.058 2.065 0.000 -2.862 0.000 6.433" Properties=species:S:1:pos:R:3 pbc="T T T"
Li 0.719 0.000 1.477
Li 6.536 0.000 4.956
Ca -0.743 0.000 4.844
Ca 7.999 0.000 1.588
Pd 2.241 0.000 3.624
Pd 5.058 0.000 0.000
Pd 5.014 0.000 2.808
```

Results
- energy above the most stable polymorph in this dataset (eV/atom) = 0.000
- space-group type = C2/m (12)
- formation energy from the elements (meV per atom) = -496
- E (eV/atom) = -3.84

---

Below is a relaxed AcDy4Y crystal, with properties calculated at the PBE level.

```
12
Lattice="6.743 0.000 0.000 -2.071 7.978 0.000 -3.276 -3.279 7.625" Properties=species:S:1:pos:R:3 pbc="T T T"
Ac -0.286 0.840 3.234
Ac 1.683 3.859 4.391
Dy -1.650 4.715 2.991
Dy -0.866 6.930 0.512
Dy -0.953 -1.745 5.976
Dy 0.623 3.725 0.478
Dy 0.774 0.974 7.147
Dy 2.350 6.444 1.649
Dy 2.263 -2.231 7.113
Dy 3.046 -0.016 4.634
Y -1.767 2.935 5.880
Y 3.164 1.764 1.745
```

Results
- space-group type = P-1 (2)
- formation energy from the elements (meV per atom) = 80
- E (eV/atom) = -4.75

---

Number 1: ρ 6.16 g/cm³. Number 2: ρ 10.12 g/cm³. Number 3: ρ 8.59 g/cm³. Number 4: ρ 8.10 g/cm³. Number 5: ρ 15.64 g/cm³. Number 6: ρ 9.88 g/cm³. Number 7: ρ 5.11 g/cm³. Number 8: ρ 7.82 g/cm³.